# 1
BaPAu2Se4: relaxed, PBE.

Spin magnetization ... 0.000 μB per formula unit
Uncorrected formation energy ... -0.51 eV/atom
Uncorrected energy ... -31.93 eV for the cell shown
Space group ... I222

Cell: 6.7229 6.7229 6.7229 Å, 121.93 106.10 101.17°
Element x y z (fractional)
Ba  0.0000  0.0000  0.0000
P  0.5000  0.5000  0.0000
Au  0.3242  0.8242  0.5000
Au  0.6758  0.1758  0.5000
Se  0.1521  0.1407  0.6294
Se  0.4887  0.8593  0.0114
Se  0.5113  0.5227  0.3706
Se  0.8479  0.4773  0.9886


# 2
LiMg3B: relaxed, PBE.

Spin magnetization ... 0.000 μB per formula unit
Energy relative to the elements ... 1.142 eV per atom
Uncorrected energy ... -7.67 eV for the cell shown
Space group ... Pm-3m

Cell: 4.7693 4.7693 4.7693 Å, 90.00 90.00 90.00°
Element x y z (fractional)
Li  0.0000  0.0000  0.0000
Mg  0.0000  0.0000  0.5000
Mg  0.0000  0.5000  0.0000
Mg  0.5000  0.0000  0.0000
B  0.5000  0.5000  0.5000


# 3
NaCeCdCl6: relaxed, PBE.

Spin magnetization ... 1.000 μB per formula unit
Uncorrected formation energy ... -1.73 eV/atom
Uncorrected energy ... -69.60 eV for the cell shown
Space group ... P-31c

Cell: 6.9525 6.9525 12.5537 Å, 90.00 90.00 120.00°
Element x y z (fractional)
Na  0.0000  0.0000  0.0000
Na  0.0000  0.0000  0.5000
Ce  0.3333  0.6667  0.2500
Ce  0.6667  0.3333  0.7500
Cd  0.3333  0.6667  0.7500
Cd  0.6667  0.3333  0.2500
Cl  0.0116  0.3543  0.6294
Cl  0.0116  0.6573  0.8706
Cl  0.3427  0.3543  0.8706
Cl  0.3427  0.9884  0.6294
Cl  0.3543  0.0116  0.1294
Cl  0.3543  0.3427  0.3706
Cl  0.6457  0.6573  0.6294
Cl  0.6457  0.9884  0.8706
Cl  0.6573  0.0116  0.3706
Cl  0.6573  0.6457  0.1294
Cl  0.9884  0.3427  0.1294
Cl  0.9884  0.6457  0.3706


# 4
Cr2TcTe: relaxed, PBE.

Spin magnetization ... 0.000 μB per formula unit
Uncorrected formation energy ... 0.44 eV/atom
Uncorrected energy ... -30.98 eV for the cell shown
Space group ... Immm

Cell: 5.0577 5.0577 5.0577 Å, 143.41 129.99 63.54°
Element x y z (fractional)
Cr  0.2439  0.2439  0.0000
Cr  0.7561  0.7561  0.0000
Tc  0.5000  0.0000  0.5000
Te  0.0000  0.5000  0.5000